(1)
A relaxed Nd4PuSi4 crystal. Source: the Alexandria database, functional PBE.

Geometry as extended XYZ:
```
18
Lattice="6.0082 0.0000 0.0000 0.0000 8.9566 0.0000 0.0000 0.0000 8.9566" Properties=species:S:1:pos:R:3 pbc="T T T"
Nd 2.1599 2.6022 8.3004
Nd 5.1640 5.1345 7.0805
Nd 2.1599 6.3544 0.6562
Nd 0.8442 1.8761 5.1345
Nd 3.8483 8.3004 6.3544
Nd 0.8442 7.0805 3.8221
Nd 5.1640 3.8221 1.8761
Nd 3.8483 0.6562 2.6022
Pu 0.0000 0.0000 0.0000
Pu 3.0041 4.4783 4.4783
Si 3.9106 6.7947 3.3128
Si 3.9106 2.1619 5.6438
Si 0.9065 7.7911 6.6402
Si 5.1017 2.3164 7.7911
Si 5.1017 6.6402 1.1655
Si 2.0976 3.3128 2.1619
Si 2.0976 5.6438 6.7947
Si 0.9065 1.1655 2.3164
```

Values from the calculation:
As for the uncorrected formation energy: -3.56 eV/f.u. The total magnetization comes out at 12.72 μB/cell.

(2)
A relaxed Sc2SbRh5 crystal. Source: the Alexandria database, functional PBE.

Geometry as extended XYZ:
```
16
Lattice="-2.6615 -1.3808 2.8946 -1.1634 -4.4119 -3.1742 8.1404 -5.6073 4.8101" Properties=species:S:1:pos:R:3 pbc="T T T"
Sc 1.2165 -4.1153 2.1557
Sc 3.0989 -7.2846 2.3747
Sc 5.4505 -6.2979 5.0076
Sc -1.1350 -5.1021 -0.4772
Sb 4.0702 -2.8037 2.4050
Sb -0.5817 -2.2059 -1.5871
Rh -0.7632 -2.6607 1.0292
Rh 5.0787 -8.7392 3.5013
Rh 0.8853 -6.4029 0.7599
Rh 3.4302 -4.9970 3.7705
Rh 4.9972 -8.3271 0.6226
Rh 1.9798 -1.6920 1.0133
Rh 5.6148 -6.1460 2.2310
Rh 1.3622 -3.8732 -0.5951
Rh 3.4885 -5.0096 0.8179
Rh 0.0000 0.0000 0.0000
```

Values from the calculation:
As for the uncorrected formation energy: -6.56 eV/f.u. The total magnetization comes out at 0.00 μB/cell.

(3)
A relaxed MgIrSe2 crystal. Source: the Alexandria database, functional PBE.

Geometry as extended XYZ:
```
4
Lattice="-0.2806 4.4993 2.8735 -3.4707 2.8420 2.9080 1.0943 -2.0378 3.2983" Properties=species:S:1:pos:R:3 pbc="T T T"
Ir -1.1211 2.2589 4.8436
Mg -0.9197 1.8128 2.0411
Se 0.0946 -0.1722 0.4763
Se -2.0392 4.0557 6.2586
```

Values from the calculation:
As for the uncorrected formation energy: -1.12 eV/f.u. The total magnetization comes out at 0.00 μB/cell.

(4)
A relaxed CeNd2P3Rh4 crystal. Source: the Alexandria database, functional PBE.

Geometry as extended XYZ:
```
10
Lattice="4.0856 0.0000 0.0000 0.0000 4.0856 0.0000 0.0000 0.0000 11.0600" Properties=species:S:1:pos:R:3 pbc="T T T"
Ce 2.0428 2.0428 5.5300
Nd 2.0428 0.0000 2.4234
Nd 0.0000 2.0428 8.6367
P 0.0000 0.0000 5.5300
P 2.0428 0.0000 9.6599
P 0.0000 2.0428 1.4001
Rh 2.0428 2.0428 0.0000
Rh 0.0000 0.0000 0.0000
Rh 2.0428 0.0000 7.2917
Rh 0.0000 2.0428 3.7683
```

Values from the calculation:
Its formation energy is -1.040 eV/atom. The total magnetization comes out at 0.00 μB/cell.

(5)
A relaxed LiEr2PPb crystal. Source: the Alexandria database, functional PBE.

Geometry as extended XYZ:
```
10
Lattice="4.0163 0.0000 0.0000 0.0000 7.5809 0.3322 0.0000 -2.8222 7.7430" Properties=species:S:1:pos:R:3 pbc="T T T"
Li 1.0041 2.3373 5.1675
Li 3.0122 2.4214 2.9078
Er 3.0122 4.9308 5.0361
Er 3.0122 5.7578 0.3812
Er 1.0041 -0.1721 3.0391
Er 1.0041 -0.9991 7.6940
P 1.0041 4.1449 6.6869
P 3.0122 0.6138 1.3883
Pb 1.0041 4.3329 2.5052
Pb 3.0122 0.4258 5.5700
```

Values from the calculation:
Its formation energy is -0.814 eV/atom. The total magnetization comes out at 0.00 μB/cell.

(6)
A relaxed CeTm3Se4 crystal. Source: the Alexandria database, functional PBE.

Geometry as extended XYZ:
```
16
Lattice="-2.7708 1.3745 6.2996 6.7300 -2.0745 0.8074 2.4409 7.6840 -0.6029" Properties=species:S:1:pos:R:3 pbc="T T T"
Tm -1.1757 3.8716 4.5018
Tm 0.8458 5.1869 1.1949
Tm 2.8162 4.8077 4.7506
Tm 1.5877 0.9405 5.0540
Tm 3.5840 2.1762 1.7534
Tm 4.8124 6.0435 1.4500
Se 3.2044 4.2334 -0.1356
Se 2.5017 6.8207 2.8409
Se 1.2401 3.0985 3.1572
Se 2.0856 0.4624 0.1361
Se 4.3145 6.5216 6.3679
Se 5.1600 3.8855 3.3468
Se 3.8985 0.1633 3.6631
Se 3.1958 2.7505 6.6396
Ce 0.0655 7.7791 4.1952
Ce -0.3954 1.2794 1.5015
```

Values from the calculation:
As for the uncorrected formation energy: -13.64 eV/f.u. The total magnetization comes out at 2.18 μB/cell.